(a)
# Sr2TcMo | Alexandria via LeMat-Bulk | GGA-PBE | relaxed
# V (A^3/atom): 22.4
# Crystal system: monoclinic
data_Sr2TcMo
_chemical_formula_sum 'Sr4 Tc2 Mo2'
_symmetry_space_group_name_H-M 'C 1 2/m 1'
_symmetry_Int_Tables_number 12
_symmetry_space_group_name_Hall '-C 2y'
_cell_length_a 5.822
_cell_length_b 10.647
_cell_length_c 2.897
_cell_angle_alpha 90.00
_cell_angle_beta 90.24
_cell_angle_gamma 90.00
loop_
_atom_site_label
_atom_site_type_symbol
_atom_site_fract_x
_atom_site_fract_y
_atom_site_fract_z
_atom_site_occupancy
Sr1 Sr 0.250 0.250 0.000 1
Tc1 Tc 0.000 0.000 0.500 1
Mo1 Mo 0.000 0.500 0.500 1

(b)
# Sr2TcMo | Alexandria via LeMat-Bulk | GGA-PBE | relaxed
# V (A^3/atom): 27.8
# Crystal system: orthorhombic
data_Sr2TcMo
_chemical_formula_sum 'Sr4 Tc2 Mo2'
_symmetry_space_group_name_H-M 'I m m 2'
_symmetry_Int_Tables_number 44
_symmetry_space_group_name_Hall 'I 2 -2'
_cell_length_a 3.691
_cell_length_b 5.663
_cell_length_c 10.643
_cell_angle_alpha 90.00
_cell_angle_beta 90.00
_cell_angle_gamma 90.00
loop_
_atom_site_label
_atom_site_type_symbol
_atom_site_fract_x
_atom_site_fract_y
_atom_site_fract_z
_atom_site_occupancy
Sr1 Sr 0.000 0.000 0.000 1
Sr2 Sr 0.000 0.500 0.204 1
Tc1 Tc 0.000 0.500 0.775 1
Mo1 Mo 0.000 0.000 0.412 1

Pick (b): it beats the second-best structure by 60.8 kJ/mol of atoms.

(a)
# SrTe2Mo | Alexandria via LeMat-Bulk | GGA-PBE | relaxed
# V (A^3/atom): 46.9
# Crystal system: trigonal
data_SrTe2Mo
_chemical_formula_sum 'Sr3 Te6 Mo3'
_symmetry_space_group_name_H-M 'R -3 m'
_symmetry_Int_Tables_number 166
_symmetry_space_group_name_Hall '-R 3 2"'
_cell_length_a 4.9579
_cell_length_b 4.9579
_cell_length_c 26.4278
_cell_angle_alpha 90.00
_cell_angle_beta 90.00
_cell_angle_gamma 120.00
loop_
_atom_site_label
_atom_site_type_symbol
_atom_site_fract_x
_atom_site_fract_y
_atom_site_fract_z
_atom_site_occupancy
Sr1 Sr 0.0000 0.0000 0.0000 1
Te1 Te 0.0000 0.0000 0.3993 1
Mo1 Mo 0.0000 0.0000 0.5000 1

(b)
# SrTe2Mo | Alexandria via LeMat-Bulk | GGA-PBE | relaxed
# V (A^3/atom): 29.0
# Crystal system: cubic
data_SrTe2Mo
_chemical_formula_sum 'Sr4 Te8 Mo4'
_symmetry_space_group_name_H-M 'F -4 3 m'
_symmetry_Int_Tables_number 216
_symmetry_space_group_name_Hall 'F -4 2 3'
_cell_length_a 7.739
_cell_length_b 7.739
_cell_length_c 7.739
_cell_angle_alpha 90.00
_cell_angle_beta 90.00
_cell_angle_gamma 90.00
loop_
_atom_site_label
_atom_site_type_symbol
_atom_site_fract_x
_atom_site_fract_y
_atom_site_fract_z
_atom_site_occupancy
Sr1 Sr 0.000 0.000 0.000 1
Te1 Te 0.000 0.000 0.500 1
Te2 Te 0.250 0.250 0.750 1
Mo1 Mo 0.250 0.250 0.250 1

(c)
# SrTe2Mo | Alexandria via LeMat-Bulk | GGA-PBE | relaxed
# V (A^3/atom): 30.8
# Crystal system: orthorhombic
data_SrTe2Mo
_chemical_formula_sum 'Sr2 Te4 Mo2'
_symmetry_space_group_name_H-M 'I m m m'
_symmetry_Int_Tables_number 71
_symmetry_space_group_name_Hall '-I 2 2'
_cell_length_a 4.405
_cell_length_b 6.510
_cell_length_c 8.589
_cell_angle_alpha 90.00
_cell_angle_beta 90.00
_cell_angle_gamma 90.00
loop_
_atom_site_label
_atom_site_type_symbol
_atom_site_fract_x
_atom_site_fract_y
_atom_site_fract_z
_atom_site_occupancy
Sr1 Sr 0.000 0.000 0.000 1
Te1 Te 0.000 0.500 0.205 1
Mo1 Mo 0.000 0.000 0.500 1

Pick (c): it beats the second-best structure by 38.0 kJ/mol of atoms.

(a)
# SrTe2Mo | Alexandria via LeMat-Bulk | GGA-PBE | relaxed
# V (A^3/atom): 37.6
# Crystal system: tetragonal
data_SrTe2Mo
_chemical_formula_sum 'Sr4 Te8 Mo4'
_symmetry_space_group_name_H-M 'I -4 2 d'
_symmetry_Int_Tables_number 122
_symmetry_space_group_name_Hall 'I -4 2bw'
_cell_length_a 6.531
_cell_length_b 6.531
_cell_length_c 14.115
_cell_angle_alpha 90.00
_cell_angle_beta 90.00
_cell_angle_gamma 90.00
loop_
_atom_site_label
_atom_site_type_symbol
_atom_site_fract_x
_atom_site_fract_y
_atom_site_fract_z
_atom_site_occupancy
Sr1 Sr 0.000 0.000 0.000 1
Te1 Te 0.167 0.250 0.625 1
Mo1 Mo 0.000 0.000 0.500 1

(b)
# SrTe2Mo | Alexandria via LeMat-Bulk | GGA-PBE | relaxed
# V (A^3/atom): 32.0
# Crystal system: tetragonal
data_SrTe2Mo
_chemical_formula_sum 'Sr1 Te2 Mo1'
_symmetry_space_group_name_H-M 'P 4 m m'
_symmetry_Int_Tables_number 99
_symmetry_space_group_name_Hall 'P 4 -2'
_cell_length_a 5.474
_cell_length_b 5.474
_cell_length_c 4.266
_cell_angle_alpha 90.00
_cell_angle_beta 90.00
_cell_angle_gamma 90.00
loop_
_atom_site_label
_atom_site_type_symbol
_atom_site_fract_x
_atom_site_fract_y
_atom_site_fract_z
_atom_site_occupancy
Sr1 Sr 0.000 0.000 0.000 1
Te1 Te 0.000 0.500 0.504 1
Mo1 Mo 0.500 0.500 0.681 1

Pick (b): it beats the second-best structure by 10.5 kJ/mol of atoms.

(a)
# SrTe2Mo | Alexandria via LeMat-Bulk | GGA-PBE | relaxed
# V (A^3/atom): 29.2
# Crystal system: trigonal
data_SrTe2Mo
_chemical_formula_sum 'Sr3 Te6 Mo3'
_symmetry_space_group_name_H-M 'R 3 m'
_symmetry_Int_Tables_number 160
_symmetry_space_group_name_Hall 'R 3 -2"'
_cell_length_a 3.6041
_cell_length_b 3.6041
_cell_length_c 31.1033
_cell_angle_alpha 90.00
_cell_angle_beta 90.00
_cell_angle_gamma 120.00
loop_
_atom_site_label
_atom_site_type_symbol
_atom_site_fract_x
_atom_site_fract_y
_atom_site_fract_z
_atom_site_occupancy
Sr1 Sr 0.0000 0.0000 0.0000 1
Te1 Te 0.0000 0.0000 0.5272 1
Te2 Te 0.0000 0.0000 0.7500 1
Mo1 Mo 0.0000 0.0000 0.2487 1

(b)
# SrTe2Mo | Alexandria via LeMat-Bulk | GGA-PBE | relaxed
# V (A^3/atom): 32.7
# Crystal system: monoclinic
data_SrTe2Mo
_chemical_formula_sum 'Sr1 Te2 Mo1'
_symmetry_space_group_name_H-M 'P 1 2/m 1'
_symmetry_Int_Tables_number 10
_symmetry_space_group_name_Hall '-P 2y'
_cell_length_a 4.330
_cell_length_b 4.031
_cell_length_c 7.630
_cell_angle_alpha 90.00
_cell_angle_beta 100.62
_cell_angle_gamma 90.00
loop_
_atom_site_label
_atom_site_type_symbol
_atom_site_fract_x
_atom_site_fract_y
_atom_site_fract_z
_atom_site_occupancy
Sr1 Sr 0.000 0.000 0.000 1
Te1 Te 0.423 0.500 0.746 1
Mo1 Mo 0.500 0.000 0.500 1

Pick (b): it beats the second-best structure by 40.6 kJ/mol of atoms.

(a)
# SrTe2Mo | Alexandria via LeMat-Bulk | GGA-PBE | relaxed
# V (A^3/atom): 24.7
# Crystal system: tetragonal
data_SrTe2Mo
_chemical_formula_sum 'Sr1 Te2 Mo1'
_symmetry_space_group_name_H-M 'P 4/m m m'
_symmetry_Int_Tables_number 123
_symmetry_space_group_name_Hall '-P 4 2'
_cell_length_a 3.541
_cell_length_b 3.541
_cell_length_c 7.867
_cell_angle_alpha 90.00
_cell_angle_beta 90.00
_cell_angle_gamma 90.00
loop_
_atom_site_label
_atom_site_type_symbol
_atom_site_fract_x
_atom_site_fract_y
_atom_site_fract_z
_atom_site_occupancy
Sr1 Sr 0.000 0.000 0.000 1
Te1 Te 0.500 0.500 0.295 1
Mo1 Mo 0.000 0.000 0.500 1

(b)
# SrTe2Mo | Alexandria via LeMat-Bulk | GGA-PBE | relaxed
# V (A^3/atom): 31.4
# Crystal system: monoclinic
data_SrTe2Mo
_chemical_formula_sum 'Sr1 Te2 Mo1'
_symmetry_space_group_name_H-M 'P 1 2/m 1'
_symmetry_Int_Tables_number 10
_symmetry_space_group_name_Hall '-P 2y'
_cell_length_a 4.465
_cell_length_b 4.459
_cell_length_c 6.318
_cell_angle_alpha 90.00
_cell_angle_beta 90.08
_cell_angle_gamma 90.00
loop_
_atom_site_label
_atom_site_type_symbol
_atom_site_fract_x
_atom_site_fract_y
_atom_site_fract_z
_atom_site_occupancy
Sr1 Sr 0.000 0.000 0.000 1
Te1 Te 0.000 0.000 0.500 1
Te2 Te 0.500 0.500 0.000 1
Mo1 Mo 0.500 0.500 0.500 1

Pick (b): it beats the second-best structure by 7.5 kJ/mol of atoms.

(a)
# SrTe2Mo | Alexandria via LeMat-Bulk | GGA-PBE | relaxed
# V (A^3/atom): 29.2
# Crystal system: tetragonal
data_SrTe2Mo
_chemical_formula_sum 'Sr2 Te4 Mo2'
_symmetry_space_group_name_H-M 'I -4 m 2'
_symmetry_Int_Tables_number 119
_symmetry_space_group_name_Hall 'I -4 -2'
_cell_length_a 4.455
_cell_length_b 4.455
_cell_length_c 11.780
_cell_angle_alpha 90.00
_cell_angle_beta 90.00
_cell_angle_gamma 90.00
loop_
_atom_site_label
_atom_site_type_symbol
_atom_site_fract_x
_atom_site_fract_y
_atom_site_fract_z
_atom_site_occupancy
Sr1 Sr 0.000 0.000 0.000 1
Te1 Te 0.000 0.000 0.500 1
Te2 Te 0.000 0.500 0.750 1
Mo1 Mo 0.000 0.500 0.250 1

(b)
# SrTe2Mo | Alexandria via LeMat-Bulk | GGA-PBE | relaxed
# V (A^3/atom): 27.0
# Crystal system: orthorhombic
data_SrTe2Mo
_chemical_formula_sum 'Sr2 Te4 Mo2'
_symmetry_space_group_name_H-M 'I m m 2'
_symmetry_Int_Tables_number 44
_symmetry_space_group_name_Hall 'I 2 -2'
_cell_length_a 3.652
_cell_length_b 3.952
_cell_length_c 14.956
_cell_angle_alpha 90.00
_cell_angle_beta 90.00
_cell_angle_gamma 90.00
loop_
_atom_site_label
_atom_site_type_symbol
_atom_site_fract_x
_atom_site_fract_y
_atom_site_fract_z
_atom_site_occupancy
Sr1 Sr 0.000 0.000 0.000 1
Te1 Te 0.000 0.000 0.619 1
Te2 Te 0.000 0.500 0.828 1
Mo1 Mo 0.000 0.500 0.256 1

(c)
# SrTe2Mo | Alexandria via LeMat-Bulk | GGA-PBE | relaxed
# V (A^3/atom): 31.7
# Crystal system: monoclinic
data_SrTe2Mo
_chemical_formula_sum 'Sr2 Te4 Mo2'
_symmetry_space_group_name_H-M 'C 1 m 1'
_symmetry_Int_Tables_number 8
_symmetry_space_group_name_Hall 'C -2y'
_cell_length_a 14.879
_cell_length_b 4.116
_cell_length_c 4.136
_cell_angle_alpha 90.00
_cell_angle_beta 90.05
_cell_angle_gamma 90.00
loop_
_atom_site_label
_atom_site_type_symbol
_atom_site_fract_x
_atom_site_fract_y
_atom_site_fract_z
_atom_site_occupancy
Sr1 Sr 0.000 0.000 0.000 1
Te1 Te 0.093 0.500 0.500 1
Te2 Te 0.313 0.000 0.002 1
Mo1 Mo 0.277 0.500 0.501 1

Pick (b): it beats the second-best structure by 5.8 kJ/mol of atoms.